# 1
DFT (GGA-PBE) results for a relaxed CoPbW2 crystal.

Cell: 2.921 2.921 8.244 Å, 90.00 90.00 104.01°
Site moments in Bohr magnetons follow the coordinates.
Element x y z (fractional)
W: 0.500 0.500 0.272  -0.03
Co: 0.000 0.000 0.472  0.45
W: 0.000 0.000 0.026  0.01
Pb: 0.500 0.500 0.730  0.01

Output
The symmetry is No. 35. The total energy comes out at -34.240 eV for the cell shown. The value obtained for the formation energy is 620 meV per atom. As for the density of states at the Fermi level: 3.5 states/eV/f.u.

***

# 2
DFT (GGA-PBE) results for a relaxed CoPbW2 crystal.

Cell: 4.785 4.785 4.959 Å, 73.17 73.17 39.18°
Site moments in Bohr magnetons follow the coordinates.
Element x y z (fractional)
Pb: 0.238 0.238 0.261  0.00
W: 0.760 0.760 0.738  0.02
Co: 0.485 0.485 0.549  0.42
W: 0.016 0.016 0.951  0.04

Output
The symmetry is No. 8. The total energy comes out at -33.644 eV for the cell shown. The value obtained for the formation energy is 769 meV per atom. As for the density of states at the Fermi level: 4.3 states/eV/f.u.

***

# 3
DFT (GGA-PBE) results for a relaxed CoPbW2 crystal.

Cell: 3.241 3.241 6.800 Å, 90.00 90.00 90.00°
Site moments in Bohr magnetons follow the coordinates.
Element x y z (fractional)
Pb: 0.500 0.500 0.750  -0.01
Co: 0.500 0.500 0.250  0.66
W: 0.000 0.000 0.074  0.04
W: 0.000 0.000 0.426  0.04

Output
The symmetry is No. 123. The total energy comes out at -33.651 eV for the cell shown. The value obtained for the formation energy is 767 meV per atom. As for the density of states at the Fermi level: 4.1 states/eV/f.u.